This record from Alexandria describes a geometry-optimized CsNa2HoI6 structure. The functional is PBE.

a = 8.2833 Å, b = 8.2833 Å, c = 22.9413 Å
α = 90.00°, β = 90.00°, γ = 120.00°
Space group R3 (No. 146, hexagonal axes)
Asymmetric unit:
Cs 0.0000 0.0000 0.0000 [3 per cell]
Na 0.0000 0.0000 0.2817 [3 per cell]
Na 0.0000 0.0000 0.8026 [3 per cell]
Ho 0.0000 0.0000 0.4714 [3 per cell]
I 0.0170 0.5818 0.0531 [9 per cell]
I 0.0243 0.3538 0.2093 [9 per cell]

Properties
energy relative to the elements, uncorrected: -1307 kJ/mol of formula units

This record from Alexandria describes a geometry-optimized TlCu3P structure. The functional is PBE.

a = 4.8355 Å, b = 4.8355 Å, c = 4.8355 Å
α = 90.00°, β = 90.00°, γ = 90.00°
Space group Pm-3m (No. 221)
Asymmetric unit:
Tl 0.0000 0.0000 0.0000 [1 per cell]
Cu 0.0000 0.0000 0.5000 [3 per cell]
P 0.5000 0.5000 0.5000 [1 per cell]

Properties
energy above the most stable polymorph in this dataset: 1159 meV/atom
energy of formation: 126.77 kJ/mol of atoms

This record from Alexandria describes a geometry-optimized NaEr4S6 structure. The functional is PBE.

a = 3.8736 Å, b = 12.9121 Å, c = 20.2889 Å
α = 90.00°, β = 90.00°, γ = 90.00°
Space group Cmcm (No. 63)
Asymmetric unit:
Na 0.0000 0.1541 0.2500 [4 per cell]
Er 0.0000 0.0988 0.6374 [8 per cell]
Er 0.0000 0.3681 0.5435 [8 per cell]
S 0.0000 0.0000 0.0000 [4 per cell]
S 0.0000 0.1875 0.7500 [4 per cell]
S 0.0000 0.2736 0.0797 [8 per cell]
S 0.0000 0.4617 0.6588 [8 per cell]

Properties
energy relative to the elements, uncorrected: -2050 kJ/mol of formula units

This record from Alexandria describes a geometry-optimized Na2TbSmS4 structure. The functional is PBE.

a = 6.9993 Å, b = 4.0405 Å, c = 7.0862 Å
α = 90.00°, β = 109.23°, γ = 90.00°
Space group P2/m (No. 10)
Asymmetric unit:
Na 0.0000 0.0000 0.0000 [1 per cell]
Na 0.5000 0.5000 0.0000 [1 per cell]
Tb 0.0000 0.5000 0.5000 [1 per cell]
Sm 0.5000 0.0000 0.5000 [1 per cell]
S 0.2390 0.0000 0.7283 [2 per cell]
S 0.2527 0.5000 0.2699 [2 per cell]

Properties
energy relative to the elements, uncorrected: -1412 kJ/mol of formula units

This record from Alexandria describes a geometry-optimized Y2HfOs structure. The functional is PBE.

a = 8.6681 Å, b = 8.6681 Å, c = 5.6159 Å
α = 90.00°, β = 90.00°, γ = 90.00°
Space group I-42d (No. 122)
Asymmetric unit:
Y 0.1705 0.7500 0.1250 [8 per cell]
Hf 0.0000 0.0000 0.5000 [4 per cell]
Os 0.0000 0.0000 0.0000 [4 per cell]

Properties
energy above the most stable polymorph in this dataset: 81 meV/atom
energy of formation: 35.45 kJ/mol of atoms

This record from Alexandria describes a geometry-optimized AcTmCu3 structure. The functional is PBE.

a = 3.9292 Å, b = 25.4775 Å, c = 4.3893 Å
α = 90.00°, β = 90.00°, γ = 90.00°
Space group Cmcm (No. 63)
Asymmetric unit:
Ac 0.0000 0.0753 0.2500 [4 per cell]
Tm 0.0000 0.2074 0.7500 [4 per cell]
Cu 0.0000 0.3202 0.7500 [4 per cell]
Cu 0.0000 0.3739 0.2500 [4 per cell]
Cu 0.0000 0.4746 0.2500 [4 per cell]

Properties
energy of formation: -20.52 kJ/mol of atoms

This record from Alexandria describes a geometry-optimized K2TbYSe4 structure. The functional is PBE.

a = 7.3152 Å, b = 4.2249 Å, c = 8.0631 Å
α = 90.00°, β = 107.61°, γ = 90.00°
Space group P2/m (No. 10)
Asymmetric unit:
K 0.0000 0.0000 0.0000 [1 per cell]
K 0.5000 0.5000 0.0000 [1 per cell]
Tb 0.0000 0.5000 0.5000 [1 per cell]
Y 0.5000 0.0000 0.5000 [1 per cell]
Se 0.2358 0.0000 0.7058 [2 per cell]
Se 0.2654 0.5000 0.2944 [2 per cell]

Properties
energy relative to the elements, uncorrected: -1366 kJ/mol of formula units

This record from Alexandria describes a geometry-optimized Ba2SrRh structure. The functional is PBE.

a = 3.9150 Å, b = 3.9150 Å, c = 11.0419 Å
α = 90.00°, β = 90.00°, γ = 90.00°
Space group P4/mmm (No. 123)
Asymmetric unit:
Ba 0.0000 0.0000 0.1621 [2 per cell]
Sr 0.5000 0.5000 0.5000 [1 per cell]
Rh 0.5000 0.5000 0.0000 [1 per cell]

Properties
energy above the most stable polymorph in this dataset: 175 meV/atom
energy of formation: -2.38 kJ/mol of atoms

This record from Alexandria describes a geometry-optimized Zn3C2 structure. The functional is PBE.

a = 7.4632 Å, b = 8.7032 Å, c = 7.4616 Å
α = 90.00°, β = 90.00°, γ = 90.00°
Space group Fdd2 (No. 43)
Asymmetric unit:
Zn 0.0000 0.0000 0.0000 [8 per cell]
Zn 0.0357 0.3494 0.9265 [16 per cell]
C 0.0131 0.2725 0.6581 [16 per cell]

Properties
energy above the most stable polymorph in this dataset: 0 meV/atom
energy of formation: 101.43 kJ/mol of atoms

This record from Alexandria describes a geometry-optimized Zr3HgTe structure. The functional is PBE.

a = 5.2624 Å, b = 5.2624 Å, c = 5.2624 Å
α = 90.00°, β = 90.00°, γ = 90.00°
Space group Pm-3m (No. 221)
Asymmetric unit:
Zr 0.0000 0.0000 0.5000 [3 per cell]
Hg 0.5000 0.5000 0.5000 [1 per cell]
Te 0.0000 0.0000 0.0000 [1 per cell]

Properties
energy above the most stable polymorph in this dataset: 0 meV/atom
energy relative to the elements, uncorrected: 273 kJ/mol of formula units

This record from Alexandria describes a geometry-optimized Zn3Au structure. The functional is PBE.

a = 5.6883 Å, b = 5.6883 Å, c = 4.4196 Å
α = 90.00°, β = 90.00°, γ = 120.00°
Space group P6_3/mmc (No. 194)
Asymmetric unit:
Zn 0.1651 0.3301 0.2500 [6 per cell]
Au 0.3333 0.6667 0.7500 [2 per cell]

Properties
energy of formation: -14.05 kJ/mol of atoms

This record from Alexandria describes a geometry-optimized TbPr2C2Cl2 structure. The functional is PBE.

a = 4.5896 Å, b = 4.5896 Å, c = 14.7673 Å
α = 90.00°, β = 90.00°, γ = 90.00°
Space group I4/mmm (No. 139)
Asymmetric unit:
Tb 0.0000 0.0000 0.0000 [2 per cell]
Pr 0.0000 0.0000 0.3942 [4 per cell]
C 0.0000 0.5000 0.0000 [4 per cell]
Cl 0.0000 0.0000 0.1933 [4 per cell]

Properties
energy relative to the elements, uncorrected: -517 kJ/mol of formula units

This record from Alexandria describes a geometry-optimized BaOs2Se structure. The functional is PBE.

a = 3.0886 Å, b = 3.0886 Å, c = 28.5133 Å
α = 90.00°, β = 90.00°, γ = 120.00°
Space group R-3m (No. 166, hexagonal axes)
Asymmetric unit:
Ba 0.0000 0.0000 0.0000 [3 per cell]
Os 0.0000 0.0000 0.2317 [6 per cell]
Se 0.0000 0.0000 0.5000 [3 per cell]

Properties
energy relative to the elements, uncorrected: 464 kJ/mol of formula units

This record from Alexandria describes a geometry-optimized CoCuSi2 structure. The functional is PBE.

a = 2.6833 Å, b = 3.4099 Å, c = 5.1122 Å
α = 90.00°, β = 90.00°, γ = 90.00°
Space group Pmmm (No. 47)
Asymmetric unit:
Co 0.0000 0.0000 0.0000 [1 per cell]
Cu 0.0000 0.0000 0.5000 [1 per cell]
Si 0.5000 0.5000 0.2418 [2 per cell]

Properties
energy relative to the elements, uncorrected: -22 kJ/mol of formula units

This record from Alexandria describes a geometry-optimized Th6SiSb2Te3 structure. The functional is PBE.

a = 19.3483 Å, b = 4.4361 Å, c = 8.9472 Å
α = 90.00°, β = 102.06°, γ = 90.00°
Space group C2/m (No. 12)
Asymmetric unit:
Th 0.0015 0.0000 0.2801 [4 per cell]
Th 0.1531 0.5000 0.5802 [4 per cell]
Th 0.1676 0.5000 0.0815 [4 per cell]
Si 0.0000 0.5000 0.5000 [2 per cell]
Sb 0.1652 0.0000 0.8332 [4 per cell]
Te 0.0000 0.5000 0.0000 [2 per cell]
Te 0.1727 0.0000 0.3376 [4 per cell]

Properties
energy relative to the elements, uncorrected: -1123 kJ/mol of formula units

This record from Alexandria describes a geometry-optimized RbLi3Os structure. The functional is PBE.

a = 5.0228 Å, b = 5.0228 Å, c = 5.0228 Å
α = 90.00°, β = 90.00°, γ = 90.00°
Space group Pm-3m (No. 221)
Asymmetric unit:
Rb 0.0000 0.0000 0.0000 [1 per cell]
Li 0.0000 0.5000 0.5000 [3 per cell]
Os 0.5000 0.5000 0.5000 [1 per cell]

Properties
energy above the most stable polymorph in this dataset: 0 meV/atom
energy of formation: 78.99 kJ/mol of atoms

This record from Alexandria describes a geometry-optimized Pr2Y3Cd2 structure. The functional is PBE.

a = 3.6315 Å, b = 33.0276 Å, c = 3.5810 Å
α = 90.00°, β = 90.00°, γ = 90.00°
Space group Cmmm (No. 65)
Asymmetric unit:
Pr 0.0000 0.2022 0.0000 [4 per cell]
Y 0.0000 0.0753 0.0000 [4 per cell]
Y 0.0000 0.5000 0.5000 [2 per cell]
Cd 0.0000 0.3643 0.5000 [4 per cell]

Properties
energy above the most stable polymorph in this dataset: 23 meV/atom
energy of formation: -11.72 kJ/mol of atoms

This record from Alexandria describes a geometry-optimized Ac2Th2Tl3 structure. The functional is PBE.

a = 4.7236 Å, b = 26.6272 Å, c = 3.6945 Å
α = 90.00°, β = 90.00°, γ = 90.00°
Space group Cmmm (No. 65)
Asymmetric unit:
Ac 0.0000 0.0736 0.0000 [4 per cell]
Th 0.0000 0.2081 0.0000 [4 per cell]
Tl 0.0000 0.3485 0.5000 [4 per cell]
Tl 0.0000 0.5000 0.5000 [2 per cell]

Properties
energy of formation: -6.98 kJ/mol of atoms

This record from Alexandria describes a geometry-optimized CsIn2Sb structure. The functional is PBE.

a = 5.3062 Å, b = 5.3062 Å, c = 11.3359 Å
α = 90.00°, β = 90.00°, γ = 90.00°
Space group P4/nmm (No. 129, origin choice 2)
Asymmetric unit:
Cs 0.2500 0.2500 0.2441 [2 per cell]
In 0.2500 0.2500 0.9279 [2 per cell]
In 0.2500 0.7500 0.5000 [2 per cell]
Sb 0.2500 0.2500 0.6430 [2 per cell]

Properties
energy relative to the elements, uncorrected: -40 kJ/mol of formula units

Record order is preserved below.
Uncorrected energy: -3.092 -2.699 -5.962 -5.392 -8.160 -4.386 -5.173 -3.244 -3.403 -5.251 -1.920 -5.955 -5.765 -5.569 -6.604 -2.769 -4.519 -4.380 -2.717 eV/atom
Record order is preserved below.
N(E_F): 0.00 0.86 0.21 0.00 1.14 0.70 0.00 0.90 0.50 1.30 0.23 0.17 1.45 0.49 0.84 0.68 1.23 1.06 0.51 states/eV per atom